The following is a PBE calculation of Be2Co3 after structural relaxation, from the Open Quantum Materials Database.

Geometry as POSCAR:
```
Be2Co3
1.0
1.5341 -3.2621 3.0815
2.8446 3.5699 -1.2863
-2.1655 0.4507 5.2045
Co Be
6 4
Direct
0.6897 0.7500 0.2500
0.1897 0.6897 0.7500
0.3103 0.2500 0.7500
0.7500 0.8103 0.7500
0.8103 0.3103 0.2500
0.2500 0.1897 0.2500
0.1869 0.8131 0.4393
0.3131 0.6869 0.0607
0.6869 0.3131 0.9393
0.8131 0.1869 0.5607
```

Values from the calculation:
calculated total energy: -5.519 eV per atom
calculated volume: 9.637 Å³ per atom
symmetry: R-3c (167)

***

The following is a PBE calculation of Na4In2PdPt after structural relaxation, from the Open Quantum Materials Database.

Geometry as POSCAR:
```
Na4In2PdPt
1.0
4.8422 0.0000 0.0000
0.0000 4.8422 0.0000
0.0000 0.0000 6.8440
Na In Pt Pd
4 2 1 1
Direct
0.0000 0.0000 0.5000
0.0000 0.5000 0.7502
0.5000 0.0000 0.2498
0.5000 0.5000 0.0000
0.0000 0.5000 0.2507
0.5000 0.0000 0.7493
0.5000 0.5000 0.5000
0.0000 0.0000 0.0000
```

Values from the calculation:
calculated total energy: -2.957 eV per atom
calculated volume: 20.059 Å³ per atom
symmetry: P-4m2 (115)

***

The following is a PBE calculation of NaPtNO after structural relaxation, from the Open Quantum Materials Database.

Geometry as POSCAR:
```
NaPtNO
1.0
-0.3730 1.1822 -2.8637
-4.6024 2.1509 1.4875
3.2404 5.6209 1.8983
Pt Na N O
2 2 2 2
Direct
0.0000 0.9703 0.5946
0.0000 0.4703 0.4054
0.5000 0.0131 0.1307
0.5000 0.5131 0.8693
0.0000 0.8362 0.3429
0.0000 0.3362 0.6571
0.5000 0.9344 0.8110
0.5000 0.4344 0.1890
```

Values from the calculation:
distance to the lowest polymorph of the same formula: 26 meV/atom
calculated volume: 13.958 Å³ per atom
symmetry: Pmc2_1 (26)

***

The following is a PBE calculation of Rb2ScCuF6 after structural relaxation, from the Open Quantum Materials Database.

Geometry as POSCAR:
```
Rb2ScCuF6
1.0
2.9249 1.6887 4.7898
-2.9249 1.6887 4.7898
0.0000 -3.3774 4.7898
Cu Sc Rb F
1 1 2 6
Direct
0.5002 0.5002 0.5002
0.0002 0.0002 0.0002
0.7507 0.7507 0.7507
0.2498 0.2498 0.2498
0.2577 0.7581 0.2249
0.7581 0.2249 0.2577
0.2249 0.2577 0.7581
0.7757 0.7424 0.2422
0.2422 0.7757 0.7424
0.7424 0.2422 0.7757
```

Values from the calculation:
calculated total energy: -5.167 eV per atom
calculated volume: 14.195 Å³ per atom
symmetry: R-3 (148)